Below is a geometry-optimized FeAgSb2I structure, with properties calculated at the GGA-PBE level.

The value obtained for the energy relative to the lowest polymorph listed for this composition is 63.04 kJ/mol of atoms. As for the uncorrected formation energy: 109.8 kJ/mol of atoms. The calculation puts the total energy at -15.4 eV/cell.

The space group is P4/mmm (No. 123) and the conventional cell measures 5.352, 5.352 and 5.650 Å, with angles of 90.00, 90.00 and 90.00 degrees. The inequivalent atoms are Fe at (0.000, 0.000, 0.000), Ag at (0.500, 0.500, 0.500), Sb at (0.000, 0.500, 0.500) and I at (0.500, 0.500, 0.000).